Entry a
5
Lattice="-3.286 -2.635 3.146 3.106 -4.231 -0.300 2.669 1.663 4.180" Properties=species:S:1:pos:R:3 comment="ScCrSeBr2 | the Alexandria database | PBE-GGA | relaxed" vol_a3_per_atom=28.9 space_group="P4/mmm, No. 123" pbc="T T T"
Br 1.553 -2.116 -0.150
Br -1.643 -1.318 1.573
Se 1.334 0.831 2.090
Sc 0.000 0.000 0.000
Cr 1.244 -2.602 3.513

Entry b
5
Lattice="5.003 0.000 0.000 0.000 5.003 0.000 0.000 0.000 5.150" Properties=species:S:1:pos:R:3 comment="ScCrSeBr2 | the Alexandria database | PBE-GGA | relaxed" vol_a3_per_atom=25.8 space_group="P4/mmm, No. 123" pbc="T T T"
Br 0.000 2.501 0.000
Sc 2.501 2.501 2.575
Cr 0.000 0.000 0.000
Se 0.000 0.000 2.575
Br 2.501 0.000 0.000

Short version: entry a is the most stable of them.

Entry a
5
Lattice="5.179 0.000 0.000 0.000 5.179 0.000 0.000 0.000 5.202" Properties=species:S:1:pos:R:3 comment="ScCrSe2Br | the Alexandria database | PBE-GGA | relaxed" vol_a3_per_atom=27.9 space_group="P4/mmm, No. 123" pbc="T T T"
Se 2.590 0.000 0.000
Cr 2.590 2.590 2.601
Br 0.000 0.000 2.601
Sc 0.000 0.000 0.000
Se 0.000 2.590 0.000

Entry b
5
Lattice="4.953 0.000 0.000 0.000 4.953 0.000 0.000 0.000 4.866" Properties=species:S:1:pos:R:3 comment="ScCrSe2Br | the Alexandria database | PBE-GGA | relaxed" vol_a3_per_atom=23.9 space_group="P4/mmm, No. 123" pbc="T T T"
Sc 2.477 2.477 2.433
Se 2.477 0.000 0.000
Br 0.000 0.000 2.433
Cr 0.000 0.000 0.000
Se 0.000 2.477 0.000

Short version: entry a is the most stable of them.

Entry a
5
Lattice="5.168 0.000 0.000 0.000 5.168 0.000 0.000 0.000 5.168" Properties=species:S:1:pos:R:3 comment="CrSe3Br | the Alexandria database | PBE-GGA | relaxed" vol_a3_per_atom=27.6 space_group="Pm-3m, No. 221" pbc="T T T"
Se 0.000 0.000 2.584
Se 2.584 0.000 0.000
Cr 2.584 2.584 2.584
Br 0.000 0.000 0.000
Se 0.000 2.584 0.000

Entry b
5
Lattice="-1.871 0.065 4.383 -3.542 -2.829 -1.470 2.582 -3.834 1.160" Properties=species:S:1:pos:R:3 comment="CrSe3Br | the Alexandria database | PBE-GGA | relaxed" vol_a3_per_atom=21.7 space_group="Pm-3m, No. 221" pbc="T T T"
Cr 0.000 0.000 0.000
Se -0.936 0.033 2.191
Br -1.416 -3.299 2.036
Se 1.291 -1.917 0.580
Se -1.771 -1.415 -0.735

Short version: entry b is the most stable of them.

Entry a
5
Lattice="4.913 0.000 0.000 0.000 4.913 0.000 0.000 0.000 4.913" Properties=species:S:1:pos:R:3 comment="CrSiSe2Br | the Alexandria database | PBE-GGA | relaxed" vol_a3_per_atom=23.7 space_group="P4/mmm, No. 123" pbc="T T T"
Si 2.457 2.457 2.457
Se 0.000 2.457 0.000
Cr 0.000 0.000 0.000
Br 0.000 0.000 2.457
Se 2.457 0.000 0.000

Entry b
5
Lattice="-4.686 -0.503 -1.281 -0.476 -3.673 3.183 -1.335 3.286 3.592" Properties=species:S:1:pos:R:3 comment="CrSiSe2Br | the Alexandria database | PBE-GGA | relaxed" vol_a3_per_atom=24.1 space_group="P4/mmm, No. 123" pbc="T T T"
Se -2.343 -0.251 -0.641
Se -0.238 -1.837 1.592
Cr -3.249 -0.445 2.747
Si 0.000 0.000 0.000
Br -0.667 1.643 1.796

Short version: entry a is the most stable of them.

Entry a
5
Lattice="-1.340 -1.427 -4.986 3.282 -4.221 0.326 -3.618 -2.679 1.739" Properties=species:S:1:pos:R:3 comment="TlCrSeBr2 | the Alexandria database | PBE-GGA | relaxed" vol_a3_per_atom=27.7 space_group="P4/mmm, No. 123" pbc="T T T"
Br 1.641 -2.110 0.163
Br -0.670 -0.713 -2.493
Cr 0.000 0.000 0.000
Tl -0.838 -4.163 -1.461
Se -1.809 -1.340 0.869

Entry b
5
Lattice="-3.864 3.095 2.659 1.336 -2.500 4.852 3.725 3.834 0.950" Properties=species:S:1:pos:R:3 comment="TlCrSeBr2 | the Alexandria database | PBE-GGA | relaxed" vol_a3_per_atom=34.3 space_group="P4/mmm, No. 123" pbc="T T T"
Br -1.932 1.548 1.330
Cr 0.599 2.214 4.231
Br 0.668 -1.250 2.426
Tl 0.000 0.000 0.000
Se 1.862 1.917 0.475

Short version: entry a is the most stable of them.

Entry a
5
Lattice="-3.049 2.585 2.866 -0.123 -3.716 3.220 4.063 2.027 2.494" Properties=species:S:1:pos:R:3 comment="CrWSeBr2 | the Alexandria database | PBE-GGA | relaxed" vol_a3_per_atom=25.1 space_group="P4/mmm, No. 123" pbc="T T T"
Se 2.032 1.014 1.247
Br -0.061 -1.858 1.610
Cr 0.000 0.000 0.000
Br -1.524 1.292 1.433
W 0.446 0.448 4.290

Entry b
5
Lattice="-3.490 3.906 0.595 -3.825 -3.142 -1.813 -0.912 -1.505 4.533" Properties=species:S:1:pos:R:3 comment="CrWSeBr2 | the Alexandria database | PBE-GGA | relaxed" vol_a3_per_atom=27.0 space_group="P4/mmm, No. 123" pbc="T T T"
Se -0.456 -0.752 2.266
Br -1.745 1.953 0.297
Cr -4.114 -0.371 1.657
Br -1.913 -1.571 -0.906
W 0.000 0.000 0.000

Short version: entry b is the most stable of them.

Entry a
5
Lattice="-1.412 -5.001 1.767 5.290 -1.197 0.840 -0.379 1.911 5.108" Properties=species:S:1:pos:R:3 comment="YCrSe2Br | the Alexandria database | PBE-GGA | relaxed" vol_a3_per_atom=32.9 space_group="P4/mmm, No. 123" pbc="T T T"
Se -0.706 -2.501 0.883
Y 0.000 0.000 0.000
Br -0.189 0.956 2.554
Se 2.645 -0.599 0.420
Cr 1.750 -2.144 3.858

Entry b
5
Lattice="-0.394 2.452 4.330 0.317 -4.322 2.477 4.834 0.458 0.180" Properties=species:S:1:pos:R:3 comment="YCrSe2Br | the Alexandria database | PBE-GGA | relaxed" vol_a3_per_atom=24.2 space_group="P4/mmm, No. 123" pbc="T T T"
Y 2.378 -0.706 3.493
Cr 0.000 0.000 0.000
Br 2.417 0.229 0.090
Se -0.197 1.226 2.165
Se 0.159 -2.161 1.238

Short version: entry b is the most stable of them.

Entry a
5
Lattice="4.648 0.000 0.000 0.000 6.589 0.000 0.000 0.000 4.648" Properties=species:S:1:pos:R:3 comment="ZnCrSe2Br | the Alexandria database | PBE-GGA | relaxed" vol_a3_per_atom=28.5 space_group="P4/mmm, No. 123" pbc="T T T"
Zn 0.000 0.000 0.000
Br 2.324 3.294 2.324
Se 0.000 0.000 2.324
Cr 0.000 3.294 0.000
Se 2.324 0.000 0.000

Entry b
5
Lattice="-3.517 2.457 2.367 -2.640 -4.114 0.348 2.316 -1.099 4.582" Properties=species:S:1:pos:R:3 comment="ZnCrSe2Br | the Alexandria database | PBE-GGA | relaxed" vol_a3_per_atom=25.2 space_group="P4/mmm, No. 123" pbc="T T T"
Cr -1.920 -1.378 3.649
Br 1.158 -0.549 2.291
Se -1.320 -2.057 0.174
Se -1.759 1.229 1.183
Zn 0.000 0.000 0.000

Short version: entry b is the most stable of them.

Entry a
5
Lattice="-0.983 -0.769 5.034 4.930 -1.425 0.745 1.181 4.569 0.929" Properties=species:S:1:pos:R:3 comment="ZnCrSeBr2 | the Alexandria database | PBE-GGA | relaxed" vol_a3_per_atom=25.9 space_group="P4/mmm, No. 123" pbc="T T T"
Cr 0.000 0.000 0.000
Br -0.492 -0.385 2.517
Zn 2.564 1.187 3.354
Br 2.465 -0.713 0.373
Se 0.590 2.285 0.465

Entry b
5
Lattice="-4.023 -2.839 -1.300 2.910 -2.641 -3.238 1.130 -3.299 3.706" Properties=species:S:1:pos:R:3 comment="ZnCrSeBr2 | the Alexandria database | PBE-GGA | relaxed" vol_a3_per_atom=26.4 space_group="P4/mmm, No. 123" pbc="T T T"
Se 0.565 -1.650 1.853
Cr 0.009 -4.389 -0.416
Zn 0.000 0.000 0.000
Br -2.011 -1.419 -0.650
Br 1.455 -1.321 -1.619

Short version: entry a is the most stable of them.

Entry a
5
Lattice="5.320 0.000 0.000 0.000 5.320 0.000 0.000 0.000 5.221" Properties=species:S:1:pos:R:3 comment="ZrCrSeBr2 | the Alexandria database | PBE-GGA | relaxed" vol_a3_per_atom=29.6 space_group="P4/mmm, No. 123" pbc="T T T"
Cr 2.660 2.660 2.611
Zr 0.000 0.000 0.000
Br 2.660 0.000 0.000
Se 0.000 0.000 2.611
Br 0.000 2.660 0.000

Entry b
5
Lattice="4.962 0.000 0.000 0.000 4.962 0.000 0.000 0.000 5.121" Properties=species:S:1:pos:R:3 comment="ZrCrSeBr2 | the Alexandria database | PBE-GGA | relaxed" vol_a3_per_atom=25.2 space_group="P4/mmm, No. 123" pbc="T T T"
Cr 0.000 0.000 0.000
Br 2.481 0.000 0.000
Zr 2.481 2.481 2.561
Br 0.000 2.481 0.000
Se 0.000 0.000 2.561

Short version: entry b is the most stable of them.

Entry a
4
Lattice="9.032 -0.220 -0.129 8.411 3.298 -0.129 8.411 1.484 2.948" Properties=species:S:1:pos:R:3 comment="CrSiBr2 | the Alexandria database | PBE-GGA | relaxed" vol_a3_per_atom=24.3 space_group="R-3m, No. 166" pbc="T T T"
Br 13.443 2.372 1.398
Si 19.391 3.422 2.017
Cr 6.464 1.141 0.672
Br 25.339 4.472 2.635

Entry b
4
Lattice="3.629 -0.031 0.000 -1.976 3.044 0.000 0.000 0.000 9.338" Properties=species:S:1:pos:R:3 comment="CrSiBr2 | the Alexandria database | PBE-GGA | relaxed" vol_a3_per_atom=25.6 space_group="Cmmm, No. 65" pbc="T T T"
Si 0.826 1.506 7.003
Br 0.000 0.000 4.191
Br 0.000 0.000 0.478
Cr 0.826 1.506 2.334

Short version: entry a is the most stable of them.

Entry a
4
Lattice="8.030 0.067 -0.150 7.317 3.308 -0.150 0.783 0.172 4.176" Properties=species:S:1:pos:R:3 comment="CrSiBr2 | the Alexandria database | PBE-GGA | relaxed" vol_a3_per_atom=27.3 space_group="Cm, No. 8" pbc="T T T"
Si 13.020 2.863 2.595
Cr 7.186 1.580 1.971
Br 4.055 0.892 1.236
Br 15.282 3.361 -0.289

Entry b
4
Lattice="3.875 0.000 0.000 0.000 5.048 0.065 0.000 0.758 4.991" Properties=species:S:1:pos:R:3 comment="CrSiBr2 | the Alexandria database | PBE-GGA | relaxed" vol_a3_per_atom=24.4 space_group="Cmmm, No. 65" pbc="T T T"
Cr 1.938 1.451 1.264
Si 1.938 4.354 3.792
Br 0.000 2.795 2.434
Br 0.000 0.108 0.094

Entry c
4
Lattice="8.027 0.093 -0.098 7.321 3.294 -0.098 0.558 0.123 4.025" Properties=species:S:1:pos:R:3 comment="CrSiBr2 | the Alexandria database | PBE-GGA | relaxed" vol_a3_per_atom=26.0 space_group="C2/m, No. 12" pbc="T T T"
Si 11.930 2.633 2.872
Br 9.671 2.134 1.681
Cr 3.977 0.878 0.957
Br 13.631 3.008 0.039

Short version: entry c is the most stable of them.